# CaCdB3

A relaxed structure of CaCdB3 (GGA-PBE, Alexandria).

Calculated values
The electronic total energy comes out at -2.90 eV per atom. The calculation puts the formation energy at 1.693 eV/atom. The calculation puts the density of states at the Fermi level at 2.82 states/eV/f.u.

a b c (Å): 4.449 4.449 4.449
angles (deg): 90.00 90.00 90.00
Space group Pm-3m (No. 221)
Inequivalent atoms, fractional coordinates:
Ca 0.000 0.000 0.000 x1
Cd 0.500 0.500 0.500 x1
B 0.000 0.500 0.500 x3